{"formula": "MoPRhO2", "functional": "PBE+U", "state": "relaxed", "lattice_angstrom": [[3.757, 0.000, 0.000], [0.000, 3.757, 0.000], [0.000, 0.000, 5.434]], "species": ["Mo", "P", "Rh", "O", "O"], "fractional_positions": [[0.000, 0.000, 0.000], [0.000, 0.000, 0.500], [0.500, 0.500, 0.500], [0.000, 0.500, 0.000], [0.500, 0.000, 0.000]], "relative_energy_mev_per_atom": 0, "crystal_system": "tetragonal", "volume_a3_per_fu": 76.7}